# K4Zn3Au2

A relaxed K4Zn3Au2 crystal (PBE-GGA, the Alexandria database).

Results
Total magnetization (Bohr magnetons per cell): 0.0
Calculated formation energy (eV/atom): -0.139
Mass density (kg/m³): 4242
Crystal system: monoclinic

Lattice parameters (Å, degrees): 4.5197 7.7177 8.9522 104.24 104.62 90.00
Atoms (fractional coordinates):
K: 0.2324 0.6892 0.4648
K: 0.7676 0.3108 0.5352
K: 0.5794 0.8896 0.1587
K: 0.4206 0.1104 0.8413
Zn: 0.0957 0.2746 0.1913
Zn: 0.9043 0.7254 0.8087
Zn: 0.0000 0.5000 0.0000
Au: 0.4153 0.5603 0.8306
Au: 0.5847 0.4397 0.1694

***

# K3Zn7Au4

A relaxed K3Zn7Au4 crystal (PBE-GGA, the Alexandria database).

Results
Total magnetization (Bohr magnetons per cell): 0.0
Calculated formation energy (eV/atom): -0.190
Mass density (kg/m³): 6655
Crystal system: monoclinic

Lattice parameters (Å, degrees): 4.5818 9.0836 8.8305 78.69 74.96 75.39
Atoms (fractional coordinates):
K: 0.2872 0.2175 0.2081
K: 0.7128 0.7825 0.7919
K: 0.0000 0.5000 0.5000
Zn: 0.3022 0.9201 0.4755
Zn: 0.5039 0.2265 0.7657
Zn: 0.8944 0.3251 0.8862
Zn: 0.6978 0.0799 0.5245
Zn: 0.1056 0.6749 0.1138
Zn: 0.0000 0.0000 0.0000
Zn: 0.4961 0.7735 0.2343
Au: 0.6875 0.5259 0.0991
Au: 0.3125 0.4741 0.9009
Au: 0.8979 0.8980 0.3062
Au: 0.1021 0.1020 0.6938

***

# K4ZnAu3

A relaxed K4ZnAu3 crystal (PBE-GGA, the Alexandria database).

Results
Total magnetization (Bohr magnetons per cell): 0.0
Calculated formation energy (eV/atom): -0.248
Mass density (kg/m³): 4907
Crystal system: orthorhombic

Lattice parameters (Å, degrees): 4.7665 4.6894 12.3048 90.00 90.00 90.00
Atoms (fractional coordinates):
K: 0.5000 0.5000 0.3679
K: 0.0000 0.5000 0.8459
K: 0.0000 0.0000 0.1500
K: 0.5000 0.0000 0.6386
Au: 0.0000 0.5000 0.5708
Au: 0.0000 0.0000 0.4291
Au: 0.5000 0.0000 0.9503
Zn: 0.5000 0.5000 0.0474

***

# KZn4Au4

A relaxed KZn4Au4 crystal (PBE-GGA, the Alexandria database).

Results
Total magnetization (Bohr magnetons per cell): 0.0
Calculated formation energy (eV/atom): -0.253
Mass density (kg/m³): 9248
Crystal system: tetragonal

Lattice parameters (Å, degrees): 4.7526 9.0693 9.0693 90.00 90.00 90.00
Atoms (fractional coordinates):
K: 0.0000 0.0000 0.0000
K: 0.5000 0.5000 0.5000
Zn: 0.5003 0.3966 0.8958
Zn: 0.0003 0.6042 0.8966
Zn: 0.5003 0.6034 0.1042
Zn: 0.9997 0.1034 0.6042
Zn: 0.4997 0.8958 0.6034
Zn: 0.9997 0.8966 0.3958
Zn: 0.0003 0.3958 0.1034
Zn: 0.4997 0.1042 0.3966
Au: 0.4998 0.8211 0.3041
Au: 0.4998 0.1789 0.6959
Au: 0.9998 0.8041 0.6789
Au: 0.0002 0.3211 0.8041
Au: 0.0002 0.6789 0.1959
Au: 0.5002 0.3041 0.1789
Au: 0.5002 0.6959 0.8211
Au: 0.9998 0.1959 0.3211

***

# K4ZnAu4

A relaxed K4ZnAu4 crystal (PBE-GGA, the Alexandria database).

Results
Total magnetization (Bohr magnetons per cell): 0.0
Calculated formation energy (eV/atom): -0.222
Mass density (kg/m³): 5164
Crystal system: tetragonal

Lattice parameters (Å, degrees): 6.8756 8.4141 6.8756 65.88 90.00 114.12
Atoms (fractional coordinates):
K: 0.1439 0.7228 0.4211
K: 0.5789 0.7228 0.8561
K: 0.4211 0.2772 0.5789
K: 0.8561 0.2772 0.1439
Zn: 0.0000 0.0000 0.0000
Au: 0.3322 0.2245 0.1078
Au: 0.8922 0.2245 0.6678
Au: 0.1078 0.7755 0.8922
Au: 0.6678 0.7755 0.3322

***

# KZn2Au

A relaxed KZn2Au crystal (PBE-GGA, the Alexandria database).

Results
Total magnetization (Bohr magnetons per cell): 0.0
Excess energy over the best structure of this formula in the dataset (kJ/mol of atoms): 21.4
Calculated formation energy (eV/atom): 0.001
Mass density (kg/m³): 6776
Crystal system: orthorhombic

Lattice parameters (Å, degrees): 3.0148 3.9431 7.5637 90.00 90.00 90.00
Atoms (fractional coordinates):
Au: 0.5000 0.5000 0.2500
K: 0.5000 0.5000 0.7500
Zn: 0.0000 0.0000 0.0713
Zn: 0.0000 0.0000 0.4287

***

# KZn2Au

A relaxed KZn2Au crystal (PBE-GGA, the Alexandria database).

Results
Total magnetization (Bohr magnetons per cell): 0.0
Excess energy over the best structure of this formula in the dataset (kJ/mol of atoms): 2.4
Calculated formation energy (eV/atom): -0.196
Mass density (kg/m³): 5667
Crystal system: orthorhombic

Lattice parameters (Å, degrees): 4.5111 7.4307 6.4148 90.00 90.00 90.00
Atoms (fractional coordinates):
K: 0.0000 0.0000 0.4195
K: 0.5000 0.5000 0.5805
Zn: 0.0000 0.1802 0.9265
Zn: 0.0000 0.8198 0.9265
Zn: 0.5000 0.3198 0.0735
Zn: 0.5000 0.6802 0.0735
Au: 0.0000 0.5000 0.1035
Au: 0.5000 0.0000 0.8965

***

# KZn2Au

A relaxed KZn2Au crystal (PBE-GGA, the Alexandria database).

Results
Total magnetization (Bohr magnetons per cell): 0.0
Excess energy over the best structure of this formula in the dataset (kJ/mol of atoms): 12.8
Calculated formation energy (eV/atom): -0.089
Mass density (kg/m³): 5368
Crystal system: orthorhombic

Lattice parameters (Å, degrees): 4.7370 4.9435 4.8462 89.95 90.00 90.00
Atoms (fractional coordinates):
Au: 0.5000 0.2500 0.2500
K: 0.5000 0.7500 0.7500
Zn: 0.0000 0.0007 0.2497
Zn: 0.0000 0.4993 0.2503